Entry 1:
Material: Be2Cu
Method: DFT, GGA-PBE
State: optimized geometry

Computed properties:
E above lowest polymorph, eV/atom: 0.0000
Space group: Fd-3m (227)

Lattice parameters (Å, degrees): 4.2397 4.2397 4.2397 60.00 60.00 60.00
Fractional coordinates of all 6 atoms:
Be 0.0000 0.0000 0.0000
Be 0.0000 0.0000 0.5000
Be 0.0000 0.5000 0.0000
Be 0.5000 0.0000 0.0000
Cu 0.3750 0.3750 0.3750
Cu 0.6250 0.6250 0.6250

Entry 2:
Material: Be3Cu
Method: DFT, GGA-PBE
State: optimized geometry

Computed properties:
Calculated total energy, eV/cell: -29.255
Space group: Cmcm (63)

Lattice parameters (Å, degrees): 4.5910 4.5910 3.7647 90.00 90.00 92.36
Fractional coordinates of all 8 atoms:
Be 0.0822 0.5977 0.2500
Be 0.0816 0.9184 0.7500
Be 0.4023 0.9178 0.2500
Be 0.5977 0.0822 0.7500
Be 0.9184 0.0816 0.2500
Be 0.9178 0.4023 0.7500
Cu 0.3961 0.6039 0.7500
Cu 0.6039 0.3961 0.2500

Entry 3:
Material: BeCu
Method: DFT, GGA-PBE
State: optimized geometry

Computed properties:
Calculated total energy, eV/cell: -15.245
Space group: R-3m (166)

Lattice parameters (Å, degrees): 7.8654 7.8654 7.8654 18.10 18.10 18.10
Fractional coordinates of all 4 atoms:
Be 0.1283 0.1283 0.1283
Be 0.8717 0.8717 0.8717
Cu 0.3803 0.3803 0.3803
Cu 0.6197 0.6197 0.6197

Entry 4:
Material: BeCu
Method: DFT, GGA-PBE
State: optimized geometry

Computed properties:
Calculated total energy, eV/cell: -15.661
Space group: P6_3/mmc (194)

Lattice parameters (Å, degrees): 2.5086 2.5086 7.4178 90.00 90.00 120.00
Fractional coordinates of all 4 atoms:
Be 0.3333 0.6667 0.2500
Be 0.6667 0.3333 0.7500
Cu 0.0000 0.0000 0.0000
Cu 0.0000 0.0000 0.5000

Entry 5:
Material: BeCu
Method: DFT, GGA-PBE
State: optimized geometry

Computed properties:
Calculated total energy, eV/cell: -15.888
Space group: Imma (74)

Lattice parameters (Å, degrees): 4.4753 4.4753 4.4753 144.17 130.50 62.60
Fractional coordinates of all 4 atoms:
Be 0.3816 0.1316 0.2500
Be 0.6184 0.8684 0.7500
Cu 0.1350 0.3850 0.7500
Cu 0.8650 0.6150 0.2500

Entry 6:
Material: Be3Cu
Method: DFT, GGA-PBE
State: optimized geometry

Computed properties:
Calculated total energy, eV/cell: -30.506
Space group: Pmma (51)

Lattice parameters (Å, degrees): 4.0940 3.5312 5.0206 90.00 90.00 90.00
Fractional coordinates of all 8 atoms:
Be 0.0000 0.0000 0.0000
Be 0.2500 0.0000 0.3783
Be 0.2500 0.5000 0.1237
Be 0.5000 0.0000 0.0000
Be 0.7500 0.0000 0.6217
Be 0.7500 0.5000 0.8763
Cu 0.2500 0.5000 0.6643
Cu 0.7500 0.5000 0.3357

Entry 7:
Material: Be5Cu4
Method: DFT, GGA-PBE
State: optimized geometry

Computed properties:
Calculated total energy, eV/cell: -35.349
Space group: I4/mmm (139)

Lattice parameters (Å, degrees): 5.3310 5.3310 5.3310 96.00 96.00 142.29
Fractional coordinates of all 9 atoms:
Be 0.0000 0.0000 0.0000
Be 0.3383 0.3383 0.6767
Be 0.3383 0.6617 0.0000
Be 0.6617 0.3383 0.0000
Be 0.6617 0.6617 0.3233
Cu 0.0000 0.3143 0.3143
Cu 0.0000 0.6857 0.6857
Cu 0.3143 0.0000 0.3143
Cu 0.6857 0.0000 0.6857

Entry 8:
Material: Be2Cu
Method: DFT, GGA-PBE
State: optimized geometry

Computed properties:
E above lowest polymorph, eV/atom: 0.1904
Space group: R-3m (166)

Lattice parameters (Å, degrees): 5.7419 5.7419 5.7419 24.55 24.55 24.55
Fractional coordinates of all 3 atoms:
Be 0.2191 0.2191 0.2191
Be 0.7809 0.7809 0.7809
Cu 0.0000 0.0000 0.0000

Entry 9:
Material: Be4Cu3
Method: DFT, GGA-PBE
State: optimized geometry

Computed properties:
E above lowest polymorph, eV/atom: 0.6306
Space group: Pm-3m (221)

Lattice parameters (Å, degrees): 4.3889 4.3889 4.3889 90.00 90.00 90.00
Fractional coordinates of all 7 atoms:
Be 0.0000 0.0000 0.0000
Be 0.0000 0.5000 0.5000
Be 0.5000 0.0000 0.5000
Be 0.5000 0.5000 0.0000
Cu 0.0000 0.0000 0.5000
Cu 0.0000 0.5000 0.0000
Cu 0.5000 0.0000 0.0000

Entry 10:
Material: Be8Cu3
Method: DFT, GGA-PBE
State: optimized geometry

Computed properties:
Calculated total energy, eV/cell: -36.234
Space group: R-3 (148)

Lattice parameters (Å, degrees): 4.9993 4.9993 4.9993 98.63 98.63 98.63
Fractional coordinates of all 11 atoms:
Be 0.1401 0.1401 0.1401
Be 0.1898 0.4823 0.4548
Be 0.4548 0.1898 0.4823
Be 0.4823 0.4548 0.1898
Be 0.5177 0.5452 0.8102
Be 0.5452 0.8102 0.5177
Be 0.8102 0.5177 0.5452
Be 0.8599 0.8599 0.8599
Cu 0.0000 0.0000 0.5000
Cu 0.0000 0.5000 0.0000
Cu 0.5000 0.0000 0.0000

Entry 11:
Material: BeCu
Method: DFT, GGA-PBE
State: optimized geometry

Computed properties:
Calculated total energy, eV/cell: -15.852
Space group: P4/nmm (129)

Lattice parameters (Å, degrees): 2.6697 2.6697 5.5362 90.00 90.00 90.00
Fractional coordinates of all 4 atoms:
Be 0.2500 0.2500 0.1056
Be 0.7500 0.7500 0.8944
Cu 0.2500 0.2500 0.6576
Cu 0.7500 0.7500 0.3424

Entry 12:
Material: Be2Cu
Method: DFT, GGA-PBE
State: optimized geometry

Computed properties:
E above lowest polymorph, eV/atom: 0.8591
Space group: P4/mmm (123)

Lattice parameters (Å, degrees): 2.9894 2.9894 4.2540 90.00 90.00 90.00
Fractional coordinates of all 3 atoms:
Be 0.0000 0.0000 0.0000
Be 0.5000 0.5000 0.5000
Cu 0.0000 0.0000 0.5000